Arrangement one

The following is a GGA-PBEsol calculation of an optimized crystal structure of LaY2Ir, from Alexandria via LeMat-Bulk.

spin magnetization	0.000	μB per atom
calculated density	8.2	Mg/m³

Unit cell a=6.246 b=6.246 c=5.267 alpha=114.92 beta=114.92 gamma=34.13
Atoms (fractional coordinates):
La 0.000 0.000 0.000
Y 0.201 0.201 0.701
Y 0.397 0.397 0.397
Ir 0.703 0.703 0.205

=====

Arrangement two

The following is a GGA-PBEsol calculation of an optimized crystal structure of LaY2Ir, from Alexandria via LeMat-Bulk.

spin magnetization	0.000	μB per atom
calculated density	8.8	Mg/m³

Unit cell a=6.053 b=6.053 c=6.053 alpha=138.63 beta=138.63 gamma=59.95
Atoms (fractional coordinates):
La 0.000 0.000 0.000
Y 0.250 0.750 0.500
Y 0.750 0.250 0.500
Ir 0.500 0.500 0.000

=====

Out of the structures above, which one is the most stable? Solution: arrangement one.